Entry from the Open Quantum Materials Database: an optimized crystal structure of Zn5B (PBE).

Output
- symmetry = P-62m
- E above lowest polymorph (meV/atom) = 0
- crystal system = hexagonal

The structure in CIF format:
```
data_Zn5B
_cell_length_a 4.420
_cell_length_b 4.420
_cell_length_c 4.922
_cell_angle_alpha 90.00
_cell_angle_beta 90.00
_cell_angle_gamma 120.00
_space_group_name_H-M_alt 'P 1'
_space_group_IT_number 1
loop_
_space_group_symop_operation_xyz
'x,y,z'
loop_
_atom_site_label
_atom_site_type_symbol
_atom_site_fract_x
_atom_site_fract_y
_atom_site_fract_z
Zn1 Zn 0.000 0.328 0.000
Zn2 Zn 0.328 0.000 0.000
Zn3 Zn 0.333 0.667 0.500
Zn4 Zn 0.667 0.333 0.500
Zn5 Zn 0.672 0.672 0.000
B1 B 0.000 0.000 0.500
```



Entry from the Open Quantum Materials Database: an optimized crystal structure of RbLaU (PBE).

Output
- calculated total energy (eV/f.u.) = -11.73
- symmetry = F-43m
- crystal system = cubic

The structure in CIF format:
```
data_RbLaU
_cell_length_a 5.914
_cell_length_b 5.914
_cell_length_c 5.914
_cell_angle_alpha 60.00
_cell_angle_beta 60.00
_cell_angle_gamma 60.00
_space_group_name_H-M_alt 'P 1'
_space_group_IT_number 1
loop_
_space_group_symop_operation_xyz
'x,y,z'
loop_
_atom_site_label
_atom_site_type_symbol
_atom_site_fract_x
_atom_site_fract_y
_atom_site_fract_z
Rb1 Rb 0.000 0.000 0.000
La1 La 0.500 0.500 0.500
U1 U 0.750 0.750 0.750
```



Entry from the Open Quantum Materials Database: an optimized crystal structure of Rb2GaNiCl6 (PBE).

Output
- calculated total energy (eV/f.u.) = -34.03
- symmetry = Fm-3m
- crystal system = cubic

The structure in CIF format:
```
data_Rb2GaNiCl6
_cell_length_a 6.965
_cell_length_b 6.965
_cell_length_c 6.965
_cell_angle_alpha 60.00
_cell_angle_beta 60.00
_cell_angle_gamma 60.00
_space_group_name_H-M_alt 'P 1'
_space_group_IT_number 1
loop_
_space_group_symop_operation_xyz
'x,y,z'
loop_
_atom_site_label
_atom_site_type_symbol
_atom_site_fract_x
_atom_site_fract_y
_atom_site_fract_z
Rb1 Rb 0.250 0.250 0.250
Rb2 Rb 0.750 0.750 0.750
Ga1 Ga 0.000 0.000 0.000
Ni1 Ni 0.500 0.500 0.500
Cl1 Cl 0.253 0.253 0.747
Cl2 Cl 0.253 0.747 0.253
Cl3 Cl 0.253 0.747 0.747
Cl4 Cl 0.747 0.253 0.253
Cl5 Cl 0.747 0.253 0.747
Cl6 Cl 0.747 0.747 0.253
```



Entry from the Open Quantum Materials Database: an optimized crystal structure of SmAgS2 (PBE).

Output
- calculated total energy (eV/f.u.) = -20.94
- symmetry = P2_1/c
- crystal system = monoclinic

The structure in CIF format:
```
data_SmAgS2
_cell_length_a 6.809
_cell_length_b 7.291
_cell_length_c 7.011
_cell_angle_alpha 90.00
_cell_angle_beta 101.07
_cell_angle_gamma 90.00
_space_group_name_H-M_alt 'P 1'
_space_group_IT_number 1
loop_
_space_group_symop_operation_xyz
'x,y,z'
loop_
_atom_site_label
_atom_site_type_symbol
_atom_site_fract_x
_atom_site_fract_y
_atom_site_fract_z
Sm1 Sm 0.200 0.050 0.302
Sm2 Sm 0.200 0.450 0.802
Sm3 Sm 0.800 0.550 0.198
Sm4 Sm 0.800 0.950 0.698
Ag1 Ag 0.360 0.632 0.411
Ag2 Ag 0.360 0.868 0.911
Ag3 Ag 0.640 0.132 0.089
Ag4 Ag 0.640 0.368 0.589
S1 S 0.054 0.736 0.507
S2 S 0.054 0.764 0.007
S3 S 0.416 0.129 0.692
S4 S 0.416 0.371 0.192
S5 S 0.584 0.629 0.808
S6 S 0.584 0.871 0.308
S7 S 0.946 0.236 0.993
S8 S 0.946 0.264 0.493
```



Entry from the Open Quantum Materials Database: an optimized crystal structure of RbErSO (PBE).

Output
- symmetry = P4/nmm
- E above lowest polymorph (meV/atom) = 383
- crystal system = tetragonal

The structure in CIF format:
```
data_RbErSO
_cell_length_a 4.143
_cell_length_b 4.143
_cell_length_c 9.852
_cell_angle_alpha 90.00
_cell_angle_beta 90.00
_cell_angle_gamma 90.00
_space_group_name_H-M_alt 'P 1'
_space_group_IT_number 1
loop_
_space_group_symop_operation_xyz
'x,y,z'
loop_
_atom_site_label
_atom_site_type_symbol
_atom_site_fract_x
_atom_site_fract_y
_atom_site_fract_z
Rb1 Rb 0.250 0.750 0.000
Rb2 Rb 0.750 0.250 0.000
Er1 Er 0.250 0.250 0.406
Er2 Er 0.750 0.750 0.594
S1 S 0.250 0.250 0.764
S2 S 0.750 0.750 0.236
O1 O 0.250 0.750 0.500
O2 O 0.750 0.250 0.500
```



Entry from the Open Quantum Materials Database: an optimized crystal structure of Ho2ScAl3CuGe2 (PBE).

Output
- calculated total energy (eV/f.u.) = -45.49
- symmetry = Amm2
- crystal system = orthorhombic

The structure in CIF format:
```
data_Ho2ScAl3CuGe2
_cell_length_a 4.106
_cell_length_b 6.892
_cell_length_c 6.892
_cell_angle_alpha 119.46
_cell_angle_beta 90.00
_cell_angle_gamma 90.00
_space_group_name_H-M_alt 'P 1'
_space_group_IT_number 1
loop_
_space_group_symop_operation_xyz
'x,y,z'
loop_
_atom_site_label
_atom_site_type_symbol
_atom_site_fract_x
_atom_site_fract_y
_atom_site_fract_z
Ho1 Ho 0.000 0.202 0.798
Ho2 Ho 0.000 0.798 0.202
Sc1 Sc 0.000 0.606 0.606
Al1 Al 0.500 0.205 0.439
Al2 Al 0.500 0.439 0.205
Al3 Al 0.500 0.971 0.971
Cu1 Cu 0.000 0.215 0.215
Ge1 Ge 0.500 0.540 0.862
Ge2 Ge 0.500 0.862 0.540
```